First-principles (PBE) data for an optimized crystal structure of AcPm6Ru4, as listed in Alexandria via LeMat-Bulk.

The volume is 27.32 A^3/atom. Its density of states at the Fermi level is 7.10 states/eV/f.u. As for the total DFT energy (no corrections): -6.44 eV/atom. The formation energy comes out at -1.12 eV/f.u.

Cell: 7.6484 7.6484 7.6484 Å, 84.83 123.03 123.03°
Last column: nearest neighbours and their distance in Å.
Fractional coordinates of all 11 atoms:
Ru1 0.0000 0.2648 0.5872  5 Pm 2.86-2.94, 2 Ru 2.89
Ru2 0.6776 0.4128 0.4128  5 Pm 2.86-2.94, 2 Ru 2.89
Ru3 0.0000 0.5872 0.2648  5 Pm 2.86-2.94, 2 Ru 2.89
Ru4 0.3224 0.7352 0.7352  5 Pm 2.86-2.94, 2 Ru 2.89
Pm1 0.0000 0.8922 0.5298  4 Ru 2.92-3.23
Pm2 0.6376 0.1078 0.1078  4 Ru 2.92-3.23
Pm3 0.5000 0.0000 0.5000  4 Ru 2.86
Pm4 0.3624 0.4702 0.4702  4 Ru 2.92-3.23
Pm5 0.0000 0.5298 0.8922  4 Ru 2.92-3.23
Pm6 0.5000 0.5000 0.0000  4 Ru 2.86
Ac1 0.0000 0.0000 0.0000  4 Ru 3.59, 8 Pm 3.65-3.76

First-principles (PBE) data for an optimized crystal structure of Ac3Pm4Ru4, as listed in Alexandria via LeMat-Bulk.

The volume is 27.31 A^3/atom. Its density of states at the Fermi level is 7.00 states/eV/f.u. As for the total DFT energy (no corrections): -6.34 eV/atom. The formation energy comes out at -1.31 eV/f.u.

Cell: 4.1469 8.9147 9.4985 Å, 117.99 102.61 90.00°
Last column: nearest neighbours and their distance in Å.
Fractional coordinates of all 11 atoms:
Ac1 0.1051 0.1051 0.2102  6 Ru 3.30, 1 Ac 3.42, 4 Pm 3.59
Ac2 0.0000 0.5000 0.0000  4 Ru 3.27
Ac3 0.8949 0.8949 0.7898  6 Ru 3.30, 1 Ac 3.42, 4 Pm 3.59
Pm1 0.3321 0.5234 0.6641  4 Ru 2.85-3.16
Pm2 0.6679 0.8593 0.3359  4 Ru 2.85-3.16
Pm3 0.6679 0.4766 0.3359  4 Ru 2.85-3.16
Pm4 0.3321 0.1407 0.6641  4 Ru 2.85-3.16
Ru1 0.7630 0.2630 0.5260  6 Pm 2.91-3.16
Ru2 0.5000 0.7843 0.0000  2 Pm 2.85
Ru3 0.5000 0.2157 0.0000  2 Pm 2.85
Ru4 0.2370 0.7370 0.4740  6 Pm 2.91-3.16

First-principles (PBE) data for an optimized crystal structure of AcPm3Ru, as listed in Alexandria via LeMat-Bulk.

The volume is 33.57 A^3/atom. The energy above the most stable polymorph in this dataset is 0 meV per atom. Its density of states at the Fermi level is 4.90 states/eV/f.u. As for the total DFT energy (no corrections): -5.67 eV/atom. The formation energy comes out at -0.74 eV/f.u.

Cell: 7.5956 7.5956 7.5829 Å, 106.33 111.74 110.45°
Last column: nearest neighbours and their distance in Å.
Fractional coordinates of all 10 atoms:
Ru1 0.3515 0.2520 0.6035  3 Pm 2.71-2.73, 1 Ac 2.82
Ru2 0.6485 0.7480 0.3965  3 Pm 2.71-2.73, 1 Ac 2.82
Pm1 0.2503 0.4622 0.3047  1 Ru 2.71
Pm2 0.7007 0.4523 0.1530  1 Ru 2.73
Pm3 0.7497 0.5378 0.6953  1 Ru 2.71
Pm4 0.2993 0.5477 0.8470  1 Ru 2.73
Pm5 0.1576 0.9456 0.6953  1 Ru 2.71
Pm6 0.8424 0.0544 0.3047  1 Ru 2.71
Ac1 0.2797 0.9493 0.2290  1 Ru 2.82
Ac2 0.7203 0.0507 0.7710  1 Ru 2.82

First-principles (PBE) data for an optimized crystal structure of Ac3PmRu2, as listed in Alexandria via LeMat-Bulk.

The volume is 34.02 A^3/atom. Its density of states at the Fermi level is 1.96 states/eV/f.u. As for the total DFT energy (no corrections): -6.10 eV/atom. The formation energy comes out at -0.97 eV/f.u.

Cell: 4.3006 9.1467 10.9876 Å, 79.92 78.75 76.40°
Last column: nearest neighbours and their distance in Å.
Fractional coordinates of all 12 atoms:
Pm1 0.4413 0.4218 0.6949  3 Ru 2.84-2.85
Pm2 0.5587 0.5782 0.3051  3 Ru 2.84-2.85
Ru1 0.3747 0.8741 0.3767  1 Pm 2.84, 5 Ac 2.92-2.99
Ru2 0.6253 0.1259 0.6233  1 Pm 2.84, 5 Ac 2.92-2.99
Ru3 0.8757 0.3791 0.8695  2 Pm 2.85, 4 Ac 2.89-2.95
Ru4 0.1243 0.6209 0.1305  2 Pm 2.85, 4 Ac 2.89-2.95
Ac1 0.8155 0.8091 0.5593  3 Ru 2.92-2.99
Ac2 0.3114 0.3198 0.0571  3 Ru 2.89-2.95
Ac3 0.9378 0.9301 0.1930  3 Ru 2.92
Ac4 0.6886 0.6802 0.9429  3 Ru 2.89-2.95
Ac5 0.1845 0.1909 0.4407  3 Ru 2.92-2.99
Ac6 0.0622 0.0699 0.8070  3 Ru 2.92

First-principles (PBE) data for an optimized crystal structure of AcPm12Ru4, as listed in Alexandria via LeMat-Bulk.

The volume is 33.38 A^3/atom. Its density of states at the Fermi level is 17.61 states/eV/f.u. As for the total DFT energy (no corrections): -5.82 eV/atom. The formation energy comes out at -0.71 eV/f.u.

Cell: 9.0333 9.0333 9.0333 Å, 109.47 109.47 109.47°
Last column: nearest neighbours and their distance in Å.
Fractional coordinates of all 17 atoms:
Ac1 0.0000 0.0000 0.0000  12 Pm 3.79
Ru1 0.0000 0.5000 0.0000  6 Pm 2.80
Ru2 0.0000 0.0000 0.5000  6 Pm 2.80
Ru3 0.5000 0.5000 0.5000  6 Pm 2.80
Ru4 0.5000 0.0000 0.0000  6 Pm 2.80
Pm1 0.8633 0.1796 0.6837  2 Ru 2.80
Pm2 0.8204 0.6837 0.5041  2 Ru 2.80
Pm3 0.1796 0.6837 0.8633  2 Ru 2.80
Pm4 0.5041 0.8204 0.6837  2 Ru 2.80
Pm5 0.8204 0.3163 0.1367  2 Ru 2.80
Pm6 0.6837 0.8633 0.1796  2 Ru 2.80
Pm7 0.3163 0.1367 0.8204  2 Ru 2.80
Pm8 0.6837 0.5041 0.8204  2 Ru 2.80
Pm9 0.1367 0.8204 0.3163  2 Ru 2.80
Pm10 0.1796 0.3163 0.4959  2 Ru 2.80
Pm11 0.4959 0.1796 0.3163  2 Ru 2.80
Pm12 0.3163 0.4959 0.1796  2 Ru 2.80

First-principles (PBE) data for an optimized crystal structure of Ac2PmRu2, as listed in Alexandria via LeMat-Bulk.

The volume is 27.59 A^3/atom. Its density of states at the Fermi level is 4.26 states/eV/f.u. As for the total DFT energy (no corrections): -6.41 eV/atom. The formation energy comes out at -0.52 eV/f.u.

Cell: 4.5766 6.5942 10.0664 Å, 79.85 76.86 69.69°
Last column: nearest neighbours and their distance in Å.
Fractional coordinates of all 10 atoms:
Pm1 0.2091 0.9515 0.6303  4 Ru 2.95-3.16
Pm2 0.7909 0.0485 0.3697  4 Ru 2.95-3.16
Ac1 0.5265 0.6404 0.3067  4 Ru 3.11-3.26
Ac2 0.3220 0.2659 0.0902  3 Ru 3.00-3.30
Ac3 0.4735 0.3596 0.6933  4 Ru 3.11-3.26
Ac4 0.6780 0.7341 0.9098  3 Ru 3.00-3.30
Ru1 0.9634 0.1643 0.9089  1 Ru 2.56
Ru2 0.1245 0.3306 0.4205  1 Ru 2.74, 3 Pm 2.95
Ru3 0.8755 0.6694 0.5795  1 Ru 2.74, 3 Pm 2.95
Ru4 0.0366 0.8357 0.0911  1 Ru 2.56

First-principles (PBE) data for an optimized crystal structure of AcPmRu4, as listed in Alexandria via LeMat-Bulk.

The volume is 19.44 A^3/atom. Its density of states at the Fermi level is 9.80 states/eV/f.u. As for the total DFT energy (no corrections): -7.70 eV/atom. The formation energy comes out at -0.25 eV/f.u.

Cell: 5.4844 5.4844 5.4844 Å, 60.00 60.00 60.00°
Last column: nearest neighbours and their distance in Å.
Fractional coordinates of all 6 atoms:
Ru1 0.6255 0.1234 0.6255  6 Ru 2.73-2.75
Ru2 0.1234 0.6255 0.6255  6 Ru 2.73-2.75
Ru3 0.6255 0.6255 0.1234  6 Ru 2.73-2.75
Ru4 0.6255 0.6255 0.6255  6 Ru 2.73-2.75
Ac1 0.2500 0.2500 0.2500  12 Ru 3.22, 4 Pm 3.36
Pm1 0.0000 0.0000 0.0000  12 Ru 3.21, 4 Ac 3.36

First-principles (PBE) data for an optimized crystal structure of Ac3PmRu, as listed in Alexandria via LeMat-Bulk.

The volume is 39.03 A^3/atom. The energy above the most stable polymorph in this dataset is 0 meV per atom. Its density of states at the Fermi level is 7.38 states/eV/f.u. As for the total DFT energy (no corrections): -5.35 eV/atom. The formation energy comes out at -0.37 eV/f.u.

Cell: 6.7797 8.1943 8.1325 Å, 120.25 90.00 90.00°
Last column: nearest neighbours and their distance in Å.
Fractional coordinates of all 10 atoms:
Ac1 0.3213 0.9163 0.8327  1 Ru 2.89
Ac2 0.8072 0.0915 0.6782  2 Ru 2.92-2.95
Ac3 0.3072 0.9085 0.3218  2 Ru 2.92-2.95
Ac4 0.8072 0.5867 0.6782  2 Ru 2.92-2.95
Ac5 0.3072 0.4133 0.3218  2 Ru 2.92-2.95
Ac6 0.8213 0.0837 0.1673  1 Ru 2.89
Pm1 0.2872 0.4181 0.8362  1 Ru 2.77
Pm2 0.7872 0.5819 0.1638  1 Ru 2.77
Ru1 0.0625 0.2536 0.5073  1 Pm 2.77, 5 Ac 2.89-2.95
Ru2 0.5625 0.7464 0.4927  1 Pm 2.77, 5 Ac 2.89-2.95

First-principles (PBE) data for an optimized crystal structure of AcPm8Ru2, as listed in Alexandria via LeMat-Bulk.

The volume is 32.10 A^3/atom. Its density of states at the Fermi level is 14.50 states/eV/f.u. As for the total DFT energy (no corrections): -5.55 eV/atom. The formation energy comes out at -0.36 eV/f.u.

Cell: 5.7887 8.3140 8.3140 Å, 116.37 95.26 95.26°
Last column: nearest neighbours and their distance in Å.
Fractional coordinates of all 11 atoms:
Pm1 0.2821 0.5830 0.5830  4 Pm 3.12-3.44, 2 Ru 3.34
Pm2 0.0557 0.0779 0.3405  2 Ru 2.82-2.94
Pm3 0.7179 0.4170 0.4170  4 Pm 3.12-3.44, 2 Ru 3.34
Pm4 0.5000 0.2641 0.7359  2 Ru 2.93
Pm5 0.9443 0.6595 0.9221  2 Ru 2.82-2.94
Pm6 0.5000 0.7359 0.2641  2 Ru 2.93
Pm7 0.9443 0.9221 0.6595  2 Ru 2.82-2.94
Pm8 0.0557 0.3405 0.0779  2 Ru 2.82-2.94
Ac1 0.5000 0.0000 0.0000  12 Pm 3.65-3.89
Ru1 0.0000 0.7047 0.2953  6 Pm 2.82-2.94
Ru2 0.0000 0.2953 0.7047  6 Pm 2.82-2.94

First-principles (PBE) data for an optimized crystal structure of AcPmSiRu, as listed in Alexandria via LeMat-Bulk.

Its uncorrected formation energy is -128 meV per atom. The volume is 24.72 A^3/atom. Its density of states at the Fermi level is 2.59 states/eV/f.u. As for the total DFT energy (no corrections): -6.02 eV/atom.

Cell: 5.1907 5.1907 5.1907 Å, 60.00 60.00 60.00°
Last column: nearest neighbours and their distance in Å.
Fractional coordinates of all 4 atoms:
Si1 0.2500 0.2500 0.2500  4 Ac 3.18, 4 Pm 3.18
Ac1 0.5000 0.5000 0.5000  4 Si 3.18, 4 Ru 3.18
Ru1 0.7500 0.7500 0.7500  4 Pm 3.18, 4 Ac 3.18
Pm1 0.0000 0.0000 0.0000  4 Ru 3.18, 4 Si 3.18

First-principles (PBE) data for an optimized crystal structure of SrAc2PmRu, as listed in Alexandria via LeMat-Bulk.

The volume is 39.25 A^3/atom. Its density of states at the Fermi level is 4.07 states/eV/f.u. As for the total DFT energy (no corrections): -4.88 eV/atom. The formation energy comes out at -0.49 eV/f.u.

Cell: 5.6785 5.8788 5.8788 Å, 90.00 90.00 90.00°
Last column: nearest neighbours and their distance in Å.
Fractional coordinates of all 5 atoms:
Ru1 0.0000 0.0000 0.0000  2 Pm 2.84, 4 Ac 2.94
Ac1 0.0000 0.0000 0.5000  2 Ru 2.94
Ac2 0.0000 0.5000 0.0000  2 Ru 2.94
Pm1 0.5000 0.0000 0.0000  2 Ru 2.84
Sr1 0.5000 0.5000 0.5000  8 Ac 4.09, 4 Pm 4.16

First-principles (PBE) data for an optimized crystal structure of AcPmZnRu, as listed in Alexandria via LeMat-Bulk.

The volume is 24.88 A^3/atom. The energy above the most stable polymorph in this dataset is 50 meV per atom. Its density of states at the Fermi level is 4.05 states/eV/f.u. As for the total DFT energy (no corrections): -4.99 eV/atom. The formation energy comes out at -0.56 eV/f.u.

Cell: 5.2018 5.2018 5.2018 Å, 60.00 60.00 60.00°
Last column: nearest neighbours and their distance in Å.
Fractional coordinates of all 4 atoms:
Ru1 0.2500 0.2500 0.2500  4 Ac 3.19, 4 Pm 3.19
Pm1 0.0000 0.0000 0.0000  4 Ru 3.19, 4 Zn 3.19
Ac1 0.5000 0.5000 0.5000  4 Zn 3.19, 4 Ru 3.19
Zn1 0.7500 0.7500 0.7500  4 Ac 3.19, 4 Pm 3.19